A plane-wave DFT calculation with SCAN was carried out for AsBr3 at its PBEsol-relaxed geometry.

```
AsBr3
1.0
4.033 0.000 0.000
0.000 10.352 0.000
0.000 0.000 12.258
Br As
12 4
Cartesian
0.840 2.104 7.590 Br
3.186 8.901 7.568 Br
0.847 3.725 10.819 Br
1.065 10.181 4.476 Br
3.192 7.280 10.797 Br
0.951 0.171 10.605 Br
2.968 5.005 1.653 Br
1.176 8.248 1.461 Br
2.863 1.451 1.439 Br
3.082 5.347 7.782 Br
1.170 6.627 4.690 Br
2.857 3.072 4.668 Br
4.011 8.307 3.523 As
0.022 3.131 2.606 As
1.995 7.221 8.735 As
2.038 2.045 9.652 As
```

Properties
The calculated volume comes out at 32.0 A^3/atom. The final energy is -321.55 eV/cell. As for the uncorrected formation energy: -0.45 eV per atom.